# 1
TcAg5 after structural relaxation. Source: the Alexandria database, functional PBE-GGA.

a b c (Å): 5.414 5.414 5.414
angles (deg): 60.00 60.00 60.00
Site moments in Bohr magnetons follow the coordinates.
Fractional positions:
1 Tc 0.000 0.000 0.000  2.93
2 Ag 0.750 0.750 0.750  0.01
3 Ag 0.375 0.875 0.375  0.01
4 Ag 0.375 0.375 0.875  0.01
5 Ag 0.375 0.375 0.375  0.01
6 Ag 0.875 0.375 0.375  0.01

## Properties
Calculated density, g/cm³: 9.4
Raw total energy, eV per atom: -3.515
Calculated formation energy, kJ/mol of formula units: 341
Energy above the most stable polymorph in this dataset, meV per atom: 242.8
Magnetization, μB per cell: 3.2

---

# 2
TaRuF2 after structural relaxation. Source: the Alexandria database, functional PBE-GGA.

a b c (Å): 3.677 3.677 8.144
angles (deg): 76.96 76.96 90.00
Fractional positions:
1 Ta 0.000 0.000 0.000
2 Ta 0.750 0.250 0.500
3 Ru 0.250 0.750 0.500
4 Ru 0.500 0.500 0.000
5 F 0.665 0.125 0.250
6 F 0.875 0.915 0.750
7 F 0.085 0.625 0.250
8 F 0.375 0.335 0.750

## Properties
Calculated density, g/cm³: 10.2
Raw total energy, eV per atom: -7.056
Formation energy from raw total energies, meV per atom: -838.0
Energy above the most stable polymorph in this dataset, meV per atom: 36.3
Magnetization, μB per cell: 0.0

---

# 3
Pr2NdZn2Pb2 after structural relaxation. Source: the Alexandria database, functional PBE-GGA.

a b c (Å): 4.805 4.805 10.166
angles (deg): 76.33 76.33 60.00
Fractional positions:
1 Zn 0.423 0.423 0.731
2 Zn 0.577 0.577 0.269
3 Pb 0.729 0.729 0.812
4 Pb 0.271 0.271 0.188
5 Pr 0.868 0.868 0.396
6 Pr 0.132 0.132 0.604
7 Nd 0.000 0.000 0.000

## Properties
Calculated density, g/cm³: 8.2
Raw total energy, eV per atom: -3.712
Calculated formation energy, kJ/mol of formula units: -163
Magnetization, μB per cell: 0.0

---

# 4
AlWAu2 after structural relaxation. Source: the Alexandria database, functional PBE-GGA.

a b c (Å): 2.928 4.768 4.834
angles (deg): 90.00 90.00 90.00
Fractional positions:
1 Al 0.000 0.500 0.500
2 W 0.500 0.000 0.500
3 Au 0.500 0.500 0.000
4 Au 0.000 0.000 0.000

## Properties
Calculated density, g/cm³: 14.9
Raw total energy, eV per atom: -5.567
Calculated formation energy, kJ/mol of formula units: 95
Magnetization, μB per cell: 0.0

---

# 5
Na3AlBr after structural relaxation. Source: the Alexandria database, functional PBE-GGA.

a b c (Å): 5.539 5.539 5.539
angles (deg): 90.00 90.00 90.00
Fractional positions:
1 Na 0.500 0.000 0.000
2 Na 0.000 0.000 0.500
3 Na 0.000 0.500 0.000
4 Br 0.000 0.000 0.000
5 Al 0.500 0.500 0.500

## Properties
Calculated density, g/cm³: 1.7
Raw total energy, eV per atom: -2.082
Formation energy from raw total energies, meV per atom: -207.7
Energy above the most stable polymorph in this dataset, meV per atom: 0.0
Magnetization, μB per cell: 0.0

---

# 6
YWAuC2 after structural relaxation. Source: the Alexandria database, functional PBE-GGA.

a b c (Å): 4.112 5.929 4.112
angles (deg): 90.00 90.00 90.00
Fractional positions:
1 W 0.000 0.000 0.000
2 C 0.500 0.000 0.000
3 C 0.000 0.000 0.500
4 Au 0.500 0.500 0.500
5 Y 0.000 0.500 0.000

## Properties
Calculated density, g/cm³: 8.2
Raw total energy, eV per atom: -7.049
Calculated formation energy, kJ/mol of formula units: 569
Magnetization, μB per cell: 0.0

---

# 7
MgScOs2 after structural relaxation. Source: the Alexandria database, functional PBE-GGA.

a b c (Å): 2.877 2.877 8.430
angles (deg): 90.00 90.00 90.00
Fractional positions:
1 Os 0.500 0.500 0.222
2 Os 0.000 0.000 0.027
3 Sc 0.000 0.000 0.464
4 Mg 0.500 0.500 0.787

## Properties
Calculated density, g/cm³: 10.7
Raw total energy, eV per atom: -7.654
Calculated formation energy, kJ/mol of formula units: -22
Magnetization, μB per cell: 0.0

---

# 8
LaPr2Sm5Dy after structural relaxation. Source: the Alexandria database, functional PBE-GGA.

a b c (Å): 8.875 8.875 10.149
angles (deg): 115.93 115.93 90.00
Fractional positions:
1 Sm 0.571 0.653 0.724
2 Sm 0.653 0.153 0.724
3 Sm 0.071 0.571 0.724
4 Sm 0.347 0.847 0.276
5 Sm 0.500 0.500 0.000
6 Sm 0.929 0.429 0.276
7 Sm 0.847 0.929 0.276
8 Sm 0.153 0.071 0.724
9 Sm 0.000 0.000 0.000
10 Sm 0.429 0.347 0.276
11 Pr 0.618 0.118 0.000
12 Pr 0.882 0.618 0.000
13 Pr 0.382 0.882 0.000
14 Pr 0.118 0.382 0.000
15 Dy 0.250 0.750 0.500
16 Dy 0.750 0.250 0.500
17 La 0.750 0.750 0.500
18 La 0.250 0.250 0.500

## Properties
Calculated density, g/cm³: 7.1
Raw total energy, eV per atom: -4.485
Calculated formation energy, kJ/mol of formula units: 224
Magnetization, μB per cell: 0.0

---

# 9
K2CoRh after structural relaxation. Source: the Alexandria database, functional PBE-GGA.

a b c (Å): 2.868 2.868 10.646
angles (deg): 90.00 90.00 89.88
Site moments in Bohr magnetons follow the coordinates.
Fractional positions:
1 K 0.000 0.000 0.493  -0.03
2 K 0.000 0.000 0.007  -0.03
3 Co 0.500 0.500 0.750  1.79
4 Rh 0.500 0.500 0.250  0.65

## Properties
Calculated density, g/cm³: 4.6
Raw total energy, eV per atom: -3.126
Calculated formation energy, kJ/mol of formula units: 400
Energy above the most stable polymorph in this dataset, meV per atom: 586.1
Magnetization, μB per cell: 2.2

---

# 10
PuSb3Pd after structural relaxation. Source: the Alexandria database, functional PBE-GGA.

a b c (Å): 6.145 6.222 12.662
angles (deg): 90.00 90.00 90.00
Site moments in Bohr magnetons follow the coordinates.
Fractional positions:
1 Pu 0.750 0.997 0.310  5.18
2 Pu 0.750 0.497 0.690  5.18
3 Pu 0.250 0.503 0.310  5.18
4 Pu 0.250 0.003 0.690  5.18
5 Sb 0.750 0.000 0.756  -0.06
6 Sb 0.250 0.000 0.244  -0.06
7 Sb 0.250 0.117 0.931  0.01
8 Sb 0.000 0.750 0.502  -0.06
9 Sb 0.750 0.500 0.244  -0.06
10 Sb 0.500 0.750 0.502  -0.06
11 Sb 0.250 0.617 0.069  0.01
12 Sb 0.750 0.383 0.931  0.01
13 Sb 0.750 0.883 0.069  0.01
14 Sb 0.000 0.250 0.498  -0.06
15 Sb 0.250 0.500 0.756  -0.06
16 Sb 0.500 0.250 0.498  -0.06
17 Pd 0.000 0.250 0.098  -0.01
18 Pd 0.500 0.750 0.902  -0.01
19 Pd 0.000 0.750 0.902  -0.01
20 Pd 0.500 0.250 0.098  -0.01

## Properties
Calculated density, g/cm³: 9.8
Raw total energy, eV per atom: -6.872
Formation energy from raw total energies, meV per atom: -493.6
Magnetization, μB per cell: 20.8

---

# 11
HfZn2Pd6 after structural relaxation. Source: the Alexandria database, functional PBE-GGA.

a b c (Å): 4.172 5.747 6.601
angles (deg): 83.36 71.58 68.72
Fractional positions:
1 Pd 0.324 0.188 0.165
2 Pd 0.989 0.188 0.835
3 Pd 0.676 0.812 0.835
4 Pd 0.659 0.182 0.500
5 Pd 0.341 0.818 0.500
6 Pd 0.011 0.812 0.165
7 Zn 0.330 0.500 0.840
8 Zn 0.670 0.500 0.160
9 Hf 0.000 0.500 0.500

## Properties
Calculated density, g/cm³: 11.2
Raw total energy, eV per atom: -5.420
Calculated formation energy, kJ/mol of formula units: -494
Magnetization, μB per cell: 0.0

---

# 12
LaNdDyMg after structural relaxation. Source: the Alexandria database, functional PBE-GGA.

a b c (Å): 5.655 5.655 5.655
angles (deg): 60.00 60.00 60.00
Fractional positions:
1 Mg 0.000 0.000 0.000
2 Nd 0.250 0.250 0.250
3 Dy 0.500 0.500 0.500
4 La 0.750 0.750 0.750

## Properties
Calculated density, g/cm³: 6.1
Raw total energy, eV per atom: -3.958
Calculated formation energy, kJ/mol of formula units: 6
Energy above the most stable polymorph in this dataset, meV per atom: 45.7
Magnetization, μB per cell: 0.0

---

Question: Number 3 is which compound?
Answer: Pr2NdZn2Pb2

---

Question: Among the records above, which one has the highest raw total energy?
Answer: Na3AlBr